CsLiGa2 | GGA-PBE | optimized geometry

Geometry as extended XYZ:
```
4
Lattice="-2.452 2.048 4.544 -3.789 4.035 -0.468 -5.355 -1.090 0.997" Properties=species:S:1:pos:R:3 pbc="T T T"
Cs -5.798 2.497 2.536
Ga -2.899 1.248 1.268
Ga -8.697 3.745 3.804
Li 0.000 0.000 0.000
```

Computed properties:
**Total moment**: 0.000 μB/cell
**Final energy**: -7.4 eV/cell
**V**: 30.30 A^3/atom